Here is Na2MnO3 after structural relaxation from Alexandria via LeMat-Bulk. Energies are from PBE+U.

Cell lengths 10.1446, 9.6763, 5.4687 Å; angles 78.76, 69.32, 31.92 degrees
With the nearest neighbours (Å) after each atom.
Fractional coordinates of all 24 atoms:
1 Mn 0.9160 0.9160 0.0840  6 O 1.98-2.01
2 Mn 0.3340 0.3340 0.1660  6 O 1.98-2.01
3 Mn 0.1660 0.1660 0.3340  6 O 1.98-2.01
4 Mn 0.0840 0.0840 0.9160  6 O 1.98-2.01
5 O 0.6589 0.1541 0.8903  2 Mn 1.98-2.01
6 O 0.0959 0.5911 0.9534  2 Mn 1.98-2.01
7 O 0.0535 0.4465 0.4465  2 Mn 1.99
8 O 0.2966 0.8903 0.1541  2 Mn 1.98-2.01
9 O 0.4465 0.0535 0.0535  2 Mn 1.99
10 O 0.1541 0.6589 0.2966  2 Mn 1.98-2.01
11 O 0.8035 0.1965 0.1965  2 Mn 1.99
12 O 0.3597 0.9534 0.5911  2 Mn 1.98-2.01
13 O 0.5911 0.0959 0.3597  2 Mn 1.98-2.01
14 O 0.8903 0.2966 0.6589  2 Mn 1.98-2.01
15 O 0.1965 0.8035 0.8035  2 Mn 1.99
16 O 0.9534 0.3597 0.0959  2 Mn 1.98-2.01
17 Na 0.5779 0.5779 0.4221  6 O 2.27-2.45
18 Na 0.2550 0.2550 0.7450  6 O 2.24-2.39
19 Na 0.5050 0.5050 0.9950  6 O 2.24-2.39
20 Na 0.9950 0.9950 0.5050  6 O 2.24-2.39
21 Na 0.4221 0.4221 0.5779  6 O 2.27-2.45
22 Na 0.7450 0.7450 0.2550  6 O 2.24-2.39
23 Na 0.8279 0.8279 0.6721  6 O 2.27-2.45
24 Na 0.6721 0.6721 0.8279  6 O 2.27-2.45

Output
excess energy over the best structure of this formula in the dataset	1.1	kJ per mole of atoms
space group	Fddd, No. 70
M_tot	3.0	μB per formula unit
mass density	3.812	g/cm3
DFT total energy	-137.084	eV per cell